# 1
DFT (GGA-PBE) results for an optimized crystal structure of Cu15Sn.

```
Cu15Sn
1.0
7.079 0.000 0.000
0.000 2.611 0.000
-0.021 0.000 34.055
Cu Sn
30 2
Direct
0.121 0.250 0.244
0.125 0.250 0.019
0.125 0.250 0.721
0.125 0.250 0.795
0.125 0.250 0.870
0.125 0.250 0.944
0.126 0.250 0.093
0.127 0.250 0.168
0.371 0.750 0.756
0.375 0.750 0.056
0.375 0.750 0.131
0.375 0.750 0.207
0.375 0.750 0.982
0.376 0.750 0.907
0.377 0.750 0.832
0.623 0.250 0.168
0.624 0.250 0.093
0.625 0.250 0.018
0.625 0.250 0.793
0.625 0.250 0.869
0.625 0.250 0.944
0.629 0.250 0.244
0.873 0.750 0.832
0.874 0.750 0.907
0.875 0.750 0.056
0.875 0.750 0.130
0.875 0.750 0.205
0.875 0.750 0.279
0.875 0.750 0.981
0.879 0.750 0.756
0.375 0.750 0.294
0.625 0.250 0.706
```

Computed properties:
**Total energy**: -3.64 eV/atom
**Crystal system**: monoclinic
**Energy relative to the lowest polymorph listed for this composition**: 0.054 eV per atom


# 2
DFT (GGA-PBE) results for an optimized crystal structure of K5P2Au.

```
K5P2Au
1.0
2.827 1.632 8.922
-2.827 1.632 8.922
0.000 -3.265 8.922
K P Au
5 2 1
Direct
0.000 0.000 0.000
0.131 0.131 0.131
0.283 0.283 0.283
0.717 0.717 0.717
0.869 0.869 0.869
0.409 0.409 0.409
0.591 0.591 0.591
0.500 0.500 0.500
```

Computed properties:
**Total energy**: -2.81 eV/atom
**Crystal system**: trigonal


# 3
DFT (GGA-PBE) results for an optimized crystal structure of CsTbCu3Se4.

```
CsTbCu3Se4
1.0
6.237 0.000 0.000
0.000 7.922 0.000
-2.434 0.000 10.240
Cs Tb Cu Se
2 2 6 8
Direct
0.225 0.250 0.409
0.775 0.750 0.591
0.124 0.250 0.824
0.876 0.750 0.176
0.327 0.578 0.011
0.327 0.922 0.011
0.399 0.750 0.229
0.601 0.250 0.771
0.673 0.078 0.989
0.673 0.422 0.989
0.009 0.750 0.941
0.202 0.750 0.395
0.408 0.510 0.795
0.408 0.990 0.795
0.592 0.010 0.205
0.592 0.490 0.205
0.798 0.250 0.605
0.991 0.250 0.059
```

Computed properties:
**Total energy**: -4.16 eV/atom
**Crystal system**: monoclinic
**Energy relative to the lowest polymorph listed for this composition**: 0.000 eV per atom


# 4
DFT (GGA-PBE) results for an optimized crystal structure of Ta2NbCu.

```
Ta2NbCu
1.0
0.000 3.237 3.237
3.237 0.000 3.237
3.237 3.237 0.000
Ta Nb Cu
2 1 1
Direct
0.000 0.000 0.000
0.250 0.250 0.250
0.500 0.500 0.500
0.750 0.750 0.750
```

Computed properties:
**Total energy**: -9.19 eV/atom
**Formation energy from the elements**: 18.2 kJ/mol of atoms
**Crystal system**: cubic


# 5
DFT (GGA-PBE) results for an optimized crystal structure of HoAsO4.

```
HoAsO4
1.0
4.704 0.000 0.000
0.000 5.401 0.000
-0.018 0.000 5.385
Ho As O
2 2 8
Direct
0.000 0.249 0.250
0.000 0.751 0.750
0.500 0.251 0.750
0.500 0.749 0.250
0.260 0.078 0.577
0.260 0.422 0.923
0.260 0.578 0.423
0.260 0.922 0.077
0.740 0.078 0.923
0.740 0.422 0.577
0.740 0.578 0.077
0.740 0.922 0.423
```

Computed properties:
**Total energy**: -7.16 eV/atom
**Crystal system**: monoclinic


# 6
DFT (GGA-PBE) results for an optimized crystal structure of CoSiHgW.

```
CoSiHgW
1.0
0.000 3.141 3.141
3.141 0.000 3.141
3.141 3.141 0.000
Co Si Hg W
1 1 1 1
Direct
0.000 0.000 0.000
0.750 0.750 0.750
0.500 0.500 0.500
0.250 0.250 0.250
```

Computed properties:
**Total energy**: -5.49 eV/atom
**Crystal system**: cubic
**Energy relative to the lowest polymorph listed for this composition**: 0.314 eV per atom


# 7
DFT (GGA-PBE) results for an optimized crystal structure of Rb2NdTmS4.

```
Rb2NdTmS4
1.0
4.111 0.000 0.000
-2.056 3.560 0.000
0.000 0.000 15.383
Rb Nd Tm S
2 1 1 4
Direct
0.333 0.667 0.245
0.667 0.333 0.755
0.000 0.000 0.500
0.000 0.000 0.000
0.333 0.667 0.602
0.333 0.667 0.908
0.667 0.333 0.092
0.667 0.333 0.398
```

Computed properties:
**Total energy**: -5.29 eV/atom
**Crystal system**: trigonal


# 8
DFT (GGA-PBE) results for an optimized crystal structure of La3YHo2CoTe2.

```
La3YHo2CoTe2
1.0
4.100 0.000 0.000
0.000 7.435 4.263
0.000 -7.435 4.263
La Y Ho Co Te
3 1 2 1 2
Direct
0.000 0.000 0.000
0.000 0.198 0.605
0.000 0.605 0.198
0.500 0.372 0.372
0.500 0.599 0.827
0.500 0.827 0.599
0.000 0.614 0.614
0.500 0.269 0.938
0.500 0.938 0.269
```

Computed properties:
**Total energy**: -5.59 eV/atom
**Crystal system**: orthorhombic


# 9
DFT (GGA-PBE) results for an optimized crystal structure of NaHoRe2O8.

```
NaHoRe2O8
1.0
-2.583 2.583 5.560
2.583 -2.583 5.560
2.583 2.583 -5.560
Na Ho Re O
1 1 2 8
Direct
0.000 0.000 0.000
0.750 0.250 0.500
0.250 0.750 0.500
0.500 0.500 0.000
0.080 0.656 0.076
0.164 0.253 0.590
0.344 0.420 0.424
0.426 0.836 0.089
0.580 0.004 0.924
0.663 0.574 0.410
0.747 0.337 0.911
0.996 0.920 0.576
```

Computed properties:
**Total energy**: -7.83 eV/atom
**Crystal system**: tetragonal


# 10
DFT (GGA-PBE) results for an optimized crystal structure of PrBe2.

```
PrBe2
1.0
0.000 3.677 3.677
3.677 0.000 3.677
3.677 3.677 0.000
Pr Be
2 4
Direct
0.125 0.125 0.125
0.875 0.875 0.875
0.000 0.500 0.500
0.500 0.000 0.500
0.500 0.500 0.000
0.500 0.500 0.500
```

Computed properties:
**Total energy**: -3.86 eV/atom
**Crystal system**: cubic
**Energy relative to the lowest polymorph listed for this composition**: 0.000 eV per atom


# 11
DFT (GGA-PBE) results for an optimized crystal structure of CsTb.

```
CsTb
1.0
0.000 3.840 3.840
3.840 0.000 3.840
3.840 3.840 0.000
Cs Tb
1 1
Direct
0.000 0.000 0.000
0.500 0.500 0.500
```

Computed properties:
**Total energy**: -1.37 eV/atom
**Crystal system**: cubic
**Energy relative to the lowest polymorph listed for this composition**: 0.641 eV per atom


# 12
DFT (GGA-PBE) results for an optimized crystal structure of TaCoMoAs.

```
TaCoMoAs
1.0
0.000 3.091 3.091
3.091 0.000 3.091
3.091 3.091 0.000
Ta Co Mo As
1 1 1 1
Direct
0.000 0.000 0.000
0.750 0.750 0.750
0.250 0.250 0.250
0.500 0.500 0.500
```

Computed properties:
**Total energy**: -8.50 eV/atom
**Crystal system**: cubic
**Energy relative to the lowest polymorph listed for this composition**: 0.000 eV per atom


# 13
DFT (GGA-PBE) results for an optimized crystal structure of Pm2Mo.

```
Pm2Mo
1.0
0.000 5.893 5.893
5.893 0.000 5.893
5.893 5.893 0.000
Pm Mo
4 2
Direct
0.000 0.000 0.000
0.000 0.000 0.500
0.000 0.500 0.000
0.500 0.000 0.000
0.125 0.125 0.125
0.875 0.875 0.875
```

Computed properties:
**Total energy**: -5.13 eV/atom
**Formation energy from the elements**: 159.2 kJ/mol of atoms
**Crystal system**: cubic
**Energy relative to the lowest polymorph listed for this composition**: 0.369 eV per atom


# 14
DFT (GGA-PBE) results for an optimized crystal structure of BAsIrAu.

```
BAsIrAu
1.0
0.000 3.063 3.063
3.063 0.000 3.063
3.063 3.063 0.000
B As Ir Au
1 1 1 1
Direct
0.000 0.000 0.000
0.500 0.500 0.500
0.250 0.250 0.250
0.750 0.750 0.750
```

Computed properties:
**Total energy**: -4.97 eV/atom
**Crystal system**: cubic
**Energy relative to the lowest polymorph listed for this composition**: 0.000 eV per atom


# 15
DFT (GGA-PBE) results for an optimized crystal structure of LuNb2Cu.

```
LuNb2Cu
1.0
0.000 3.318 3.318
3.318 0.000 3.318
3.318 3.318 0.000
Lu Nb Cu
1 2 1
Direct
0.000 0.000 0.000
0.250 0.250 0.250
0.500 0.500 0.500
0.750 0.750 0.750
```

Computed properties:
**Total energy**: -6.92 eV/atom
**Formation energy from the elements**: 17.8 kJ/mol of atoms
**Crystal system**: cubic


# 16
DFT (GGA-PBE) results for an optimized crystal structure of Y5In4Ag.

```
Y5In4Ag
1.0
3.594 0.000 0.000
0.000 3.594 0.000
0.000 0.000 20.221
Y In Ag
5 4 1
Direct
0.000 0.000 0.000
0.000 0.000 0.205
0.000 0.000 0.409
0.000 0.000 0.591
0.000 0.000 0.795
0.500 0.500 0.103
0.500 0.500 0.308
0.500 0.500 0.692
0.500 0.500 0.897
0.500 0.500 0.500
```

Computed properties:
**Total energy**: -5.08 eV/atom
**Crystal system**: tetragonal


# 17
DFT (GGA-PBE) results for an optimized crystal structure of Rb2LiZnBr6.

```
Rb2LiZnBr6
1.0
0.000 5.333 5.333
5.333 0.000 5.333
5.333 5.333 0.000
Rb Li Zn Br
2 1 1 6
Direct
0.250 0.250 0.250
0.750 0.750 0.750
0.000 0.000 0.000
0.500 0.500 0.500
0.254 0.254 0.746
0.254 0.746 0.254
0.254 0.746 0.746
0.746 0.254 0.254
0.746 0.254 0.746
0.746 0.746 0.254
```

Computed properties:
**Total energy**: -2.69 eV/atom
**Crystal system**: cubic


# 18
DFT (GGA-PBE) results for an optimized crystal structure of NbCoAs.

```
NbCoAs
1.0
6.439 0.000 0.000
-3.220 5.577 0.000
0.000 0.000 3.653
Nb Co As
3 3 3
Direct
0.000 0.618 0.000
0.382 0.382 0.000
0.618 0.000 0.000
0.000 0.000 0.000
0.333 0.667 0.500
0.667 0.333 0.500
0.000 0.286 0.500
0.286 0.000 0.500
0.714 0.714 0.500
```

Computed properties:
**Total energy**: -7.58 eV/atom
**Crystal system**: hexagonal


# 19
DFT (GGA-PBE) results for an optimized crystal structure of CsReAgTeS2.

```
CsReAgTeS2
1.0
1.857 -8.486 0.000
1.857 8.486 0.000
0.000 0.000 10.429
Cs Re Ag Te S
2 2 2 2 4
Direct
0.233 0.767 0.750
0.767 0.233 0.250
0.000 0.000 0.000
0.000 0.000 0.500
0.448 0.552 0.250
0.552 0.448 0.750
0.072 0.928 0.250
0.928 0.072 0.750
0.404 0.596 0.027
0.404 0.596 0.473
0.596 0.404 0.527
0.596 0.404 0.973
```

Computed properties:
**Total energy**: -4.76 eV/atom
**Crystal system**: orthorhombic


# 20
DFT (GGA-PBE) results for an optimized crystal structure of Tm2Ga2O5.

```
Tm2Ga2O5
1.0
3.862 0.000 0.000
0.000 3.862 0.000
0.000 0.000 6.703
Tm Ga O
2 2 5
Direct
0.000 0.000 0.000
0.000 0.000 0.500
0.500 0.500 0.202
0.500 0.500 0.798
0.000 0.500 0.235
0.000 0.500 0.765
0.500 0.000 0.235
0.500 0.000 0.765
0.500 0.500 0.500
```

Computed properties:
**Total energy**: -6.63 eV/atom
**Crystal system**: tetragonal
**Energy relative to the lowest polymorph listed for this composition**: 0.000 eV per atom


# 21
DFT (GGA-PBE) results for an optimized crystal structure of ErPa.

```
ErPa
1.0
0.000 3.252 3.252
3.252 0.000 3.252
3.252 3.252 0.000
Er Pa
1 1
Direct
0.000 0.000 0.000
0.750 0.750 0.750
```

Computed properties:
**Total energy**: -4.65 eV/atom
**Formation energy from the elements**: 229.3 kJ/mol of atoms
**Crystal system**: cubic
**Energy relative to the lowest polymorph listed for this composition**: 2.215 eV per atom


# 22
DFT (GGA-PBE) results for an optimized crystal structure of HgPbO3.

```
HgPbO3
1.0
2.909 1.680 5.039
-2.909 1.680 5.039
0.000 -3.360 5.039
Hg Pb O
2 2 6
Direct
0.124 0.124 0.124
0.876 0.876 0.876
0.350 0.350 0.350
0.650 0.650 0.650
0.054 0.720 0.468
0.280 0.532 0.946
0.468 0.054 0.720
0.532 0.946 0.280
0.720 0.468 0.054
0.946 0.280 0.532
```

Computed properties:
**Total energy**: -4.37 eV/atom
**Crystal system**: trigonal


# 23
DFT (GGA-PBE) results for an optimized crystal structure of ScFePb.

```
ScFePb
1.0
6.915 0.000 0.000
-3.458 5.989 0.000
0.000 0.000 4.292
Sc Fe Pb
3 3 3
Direct
0.000 0.569 0.000
0.431 0.431 0.000
0.569 0.000 0.000
0.000 0.220 0.500
0.220 0.000 0.500
0.780 0.780 0.500
0.000 0.000 0.000
0.333 0.667 0.500
0.667 0.333 0.500
```

Computed properties:
**Total energy**: -6.14 eV/atom
**Crystal system**: hexagonal